Record 1
Zr6SnHg | PBE | relaxed

ΔH_f (0 K): -0.17 eV/atom
Total moment: 0.0 μB/f.u.

a = 4.160 Å, b = 9.168 Å, c = 9.479 Å
α = 90.00°, β = 90.00°, γ = 90.00°
Fractional positions:
1 Zr 0.000 0.000 0.000
2 Zr 0.000 0.243 0.252
3 Zr 0.000 0.257 0.752
4 Zr 0.000 0.500 0.500
5 Zr 0.000 0.743 0.752
6 Zr 0.000 0.757 0.252
7 Zr 0.500 0.000 0.761
8 Zr 0.500 0.248 0.501
9 Zr 0.500 0.252 0.001
10 Zr 0.500 0.500 0.261
11 Zr 0.500 0.748 0.001
12 Zr 0.500 0.752 0.501
13 Sn 0.500 0.000 0.246
14 Sn 0.500 0.500 0.746
15 Hg 0.000 0.000 0.520
16 Hg 0.000 0.500 0.020

***

Record 2
Zr6SnHg | PBE | relaxed

ΔH_f (0 K): 0.15 eV/atom
Total moment: 0.0 μB/f.u.

a = 8.635 Å, b = 6.049 Å, c = 7.972 Å
α = 90.00°, β = 106.66°, γ = 90.00°
Fractional positions:
1 Zr 0.139 0.000 0.441
2 Zr 0.199 0.246 0.802
3 Zr 0.199 0.754 0.802
4 Zr 0.301 0.254 0.198
5 Zr 0.301 0.746 0.198
6 Zr 0.361 0.500 0.559
7 Zr 0.639 0.500 0.441
8 Zr 0.699 0.254 0.802
9 Zr 0.699 0.746 0.802
10 Zr 0.801 0.246 0.198
11 Zr 0.801 0.754 0.198
12 Zr 0.861 0.000 0.559
13 Sn 0.000 0.000 0.000
14 Sn 0.500 0.500 0.000
15 Hg 0.000 0.500 0.500
16 Hg 0.500 0.000 0.500

***

Record 3
ZrSnHg3 | PBE | relaxed

ΔH_f (0 K): 0.62 eV/atom
Total moment: 0.0 μB/f.u.

a = 5.520 Å, b = 5.520 Å, c = 5.520 Å
α = 90.00°, β = 90.00°, γ = 90.00°
Fractional positions:
1 Zr 0.000 0.000 0.000
2 Sn 0.500 0.500 0.500
3 Hg 0.000 0.000 0.500
4 Hg 0.000 0.500 0.000
5 Hg 0.500 0.000 0.000

***

Record 4
Zr3SnHg | PBE | relaxed

ΔH_f (0 K): -0.24 eV/atom
Total moment: 0.0 μB/f.u.

a = 7.818 Å, b = 7.818 Å, c = 8.745 Å
α = 113.41°, β = 113.41°, γ = 78.30°
Fractional positions:
1 Zr 0.043 0.775 0.834
2 Zr 0.165 0.432 0.954
3 Zr 0.225 0.957 0.666
4 Zr 0.256 0.523 0.368
5 Zr 0.432 0.165 0.454
6 Zr 0.477 0.744 0.132
7 Zr 0.523 0.256 0.868
8 Zr 0.568 0.835 0.546
9 Zr 0.744 0.477 0.632
10 Zr 0.775 0.043 0.334
11 Zr 0.835 0.568 0.046
12 Zr 0.957 0.225 0.166
13 Sn 0.105 0.319 0.567
14 Sn 0.319 0.105 0.067
15 Sn 0.681 0.895 0.933
16 Sn 0.895 0.681 0.433
17 Hg 0.147 0.853 0.250
18 Hg 0.413 0.587 0.750
19 Hg 0.587 0.413 0.250
20 Hg 0.853 0.147 0.750

***

Record 5
ZrSnHg2 | PBE | relaxed

ΔH_f (0 K): -0.16 eV/atom
Total moment: 0.0 μB/f.u.

a = 4.354 Å, b = 4.354 Å, c = 4.715 Å
α = 90.00°, β = 90.00°, γ = 90.00°
Fractional positions:
1 Zr 0.000 0.000 0.000
2 Sn 0.500 0.500 0.000
3 Hg 0.000 0.500 0.500
4 Hg 0.500 0.000 0.500

***

Record 6
Zr2SnHg | PBE | relaxed

ΔH_f (0 K): -0.33 eV/atom
Total moment: 0.0 μB/f.u.

a = 4.502 Å, b = 4.502 Å, c = 4.321 Å
α = 90.00°, β = 90.00°, γ = 90.00°
Fractional positions:
1 Zr 0.000 0.500 0.000
2 Zr 0.500 0.000 0.000
3 Sn 0.000 0.000 0.500
4 Hg 0.500 0.500 0.500

***

Record 7
ZrSnHg | PBE | relaxed

ΔH_f (0 K): -0.10 eV/atom
Total moment: 0.0 μB/f.u.

a = 4.938 Å, b = 4.938 Å, c = 3.242 Å
α = 90.00°, β = 90.00°, γ = 120.00°
Fractional positions:
1 Zr 0.000 0.000 0.000
2 Sn 0.667 0.333 0.437
3 Hg 0.333 0.667 0.670

***

Record 8
Zr2SnHg2 | PBE | relaxed

ΔH_f (0 K): 0.01 eV/atom
Total moment: 0.0 μB/f.u.

a = 8.288 Å, b = 8.288 Å, c = 3.385 Å
α = 90.00°, β = 90.00°, γ = 90.00°
Fractional positions:
1 Zr 0.171 0.329 0.000
2 Zr 0.329 0.829 0.000
3 Zr 0.671 0.171 0.000
4 Zr 0.829 0.671 0.000
5 Sn 0.000 0.000 0.500
6 Sn 0.500 0.500 0.500
7 Hg 0.127 0.627 0.500
8 Hg 0.373 0.127 0.500
9 Hg 0.627 0.873 0.500
10 Hg 0.873 0.373 0.500

***

Record 9
ZrSnHg2 | PBE | relaxed

ΔH_f (0 K): 0.27 eV/atom
Total moment: 0.0 μB/f.u.

a = 3.258 Å, b = 3.258 Å, c = 33.904 Å
α = 90.00°, β = 90.00°, γ = 120.00°
Fractional positions:
1 Zr 0.000 0.000 0.000
2 Zr 0.333 0.667 0.667
3 Zr 0.667 0.333 0.333
4 Sn 0.000 0.000 0.500
5 Sn 0.333 0.667 0.167
6 Sn 0.667 0.333 0.833
7 Hg 0.000 0.000 0.086
8 Hg 0.000 0.000 0.914
9 Hg 0.333 0.667 0.581
10 Hg 0.333 0.667 0.753
11 Hg 0.667 0.333 0.247
12 Hg 0.667 0.333 0.419

***

Record 10
Zr7SnHg3 | PBE | relaxed

ΔH_f (0 K): 0.08 eV/atom
Total moment: 2.9 μB/f.u.

a = 7.499 Å, b = 7.499 Å, c = 7.499 Å
α = 137.96°, β = 102.97°, γ = 91.89°
Fractional positions:
1 Zr 0.000 0.000 0.000
2 Zr 0.095 0.771 0.324
3 Zr 0.310 0.500 0.810
4 Zr 0.446 0.771 0.676
5 Zr 0.554 0.229 0.324
6 Zr 0.690 0.500 0.190
7 Zr 0.905 0.229 0.676
8 Sn 0.000 0.500 0.500
9 Hg 0.274 0.274 0.000
10 Hg 0.500 0.000 0.500
11 Hg 0.726 0.726 0.000

***

Record 11
ZrSn3Hg | PBE | relaxed

ΔH_f (0 K): 0.87 eV/atom
Total moment: 0.9 μB/f.u.

a = 5.434 Å, b = 5.434 Å, c = 5.434 Å
α = 90.00°, β = 90.00°, γ = 90.00°
Fractional positions:
1 Zr 0.000 0.000 0.000
2 Sn 0.000 0.500 0.500
3 Sn 0.500 0.000 0.500
4 Sn 0.500 0.500 0.000
5 Hg 0.500 0.500 0.500

***

Record 12
Zr3SnHg | PBE | relaxed

ΔH_f (0 K): 0.77 eV/atom
Total moment: 0.0 μB/f.u.

a = 5.287 Å, b = 5.287 Å, c = 5.287 Å
α = 90.00°, β = 90.00°, γ = 90.00°
Fractional positions:
1 Zr 0.000 0.000 0.500
2 Zr 0.000 0.500 0.000
3 Zr 0.500 0.000 0.000
4 Sn 0.000 0.000 0.000
5 Hg 0.500 0.500 0.500